1.
This record from OQMD via LeMat-Bulk describes crystalline LiErGa2Pt4 at its relaxed geometry. The functional is PBE-GGA.

Lattice parameters (Å, degrees): 4.162 4.162 7.298 90.00 90.00 90.00
Fractional coordinates of all 8 atoms:
1 Li 0.500 0.500 0.500
2 Pt 0.000 0.500 0.728
3 Pt 0.500 0.000 0.272
4 Pt 0.500 0.000 0.728
5 Pt 0.000 0.500 0.272
6 Er 0.000 0.000 0.000
7 Ga 0.000 0.000 0.500
8 Ga 0.500 0.500 0.000

**DFT total energy**: -5.3975 eV/atom
**V**: 15.81 A^3/atom

***

2.
This record from OQMD via LeMat-Bulk describes crystalline ErLuGa5 at its relaxed geometry. The functional is PBE-GGA.

Lattice parameters (Å, degrees): 4.186 4.186 8.197 90.00 90.00 90.00
Fractional coordinates of all 7 atoms:
1 Er 0.000 0.000 0.000
2 Ga 0.500 0.000 0.258
3 Ga 0.500 0.000 0.742
4 Ga 0.000 0.500 0.742
5 Ga 0.500 0.500 0.000
6 Ga 0.000 0.500 0.258
7 Lu 0.000 0.000 0.500

**DFT total energy**: -3.8688 eV/atom
**V**: 20.52 A^3/atom

***

3.
This record from OQMD via LeMat-Bulk describes crystalline ErLuGa2Pd4 at its relaxed geometry. The functional is PBE-GGA.

Lattice parameters (Å, degrees): 4.385 4.385 8.945 90.00 90.00 120.00
Fractional coordinates of all 8 atoms:
1 Ga 0.667 0.333 0.750
2 Ga 0.667 0.333 0.250
3 Lu 0.333 0.667 0.500
4 Pd 0.333 0.667 0.831
5 Pd 0.000 0.000 0.667
6 Pd 0.000 0.000 0.333
7 Pd 0.333 0.667 0.169
8 Er 0.000 0.000 0.000

**DFT total energy**: -5.3885 eV/atom
**V**: 18.62 A^3/atom

***

4.
This record from OQMD via LeMat-Bulk describes crystalline ErLuGa2Pt4 at its relaxed geometry. The functional is PBE-GGA.

Lattice parameters (Å, degrees): 4.363 4.363 9.004 90.00 90.00 120.00
Fractional coordinates of all 8 atoms:
1 Pt 0.667 0.333 0.836
2 Pt 0.000 0.000 0.661
3 Pt 0.667 0.333 0.164
4 Pt 0.000 0.000 0.339
5 Ga 0.333 0.667 0.250
6 Ga 0.333 0.667 0.750
7 Lu 0.667 0.333 0.500
8 Er 0.000 0.000 0.000

**DFT total energy**: -6.0046 eV/atom
**V**: 18.56 A^3/atom

***

5.
This record from OQMD via LeMat-Bulk describes crystalline Nd2ErMg3TlGa2 at its relaxed geometry. The functional is PBE-GGA.

Lattice parameters (Å, degrees): 4.614 7.418 7.418 119.29 90.00 90.00
Fractional coordinates of all 9 atoms:
1 Ga 0.500 0.664 0.338
2 Ga 0.500 0.338 0.664
3 Mg 0.500 0.250 0.250
4 Mg 0.500 0.999 0.751
5 Mg 0.500 0.751 0.999
6 Tl 0.000 0.993 0.993
7 Nd 0.000 0.001 0.437
8 Nd 0.000 0.437 0.001
9 Er 0.000 0.566 0.566

**DFT total energy**: -3.4576 eV/atom
**V**: 24.60 A^3/atom

***

6.
This record from OQMD via LeMat-Bulk describes crystalline ErMgGa2Pt4 at its relaxed geometry. The functional is PBE-GGA.

Lattice parameters (Å, degrees): 4.555 4.555 6.456 90.00 90.00 90.00
Fractional coordinates of all 8 atoms:
1 Mg 0.000 0.000 0.000
2 Pt 0.000 0.500 0.232
3 Pt 0.000 0.500 0.768
4 Pt 0.500 0.000 0.768
5 Pt 0.500 0.000 0.232
6 Ga 0.500 0.500 0.000
7 Ga 0.000 0.000 0.500
8 Er 0.500 0.500 0.500

**DFT total energy**: -5.3544 eV/atom
**V**: 16.74 A^3/atom

***

7.
This record from OQMD via LeMat-Bulk describes crystalline Er3Mg3GaPt2 at its relaxed geometry. The functional is PBE-GGA.

Lattice parameters (Å, degrees): 7.364 7.364 4.100 90.00 90.00 120.00
Fractional coordinates of all 9 atoms:
1 Er 0.582 0.000 0.000
2 Er 0.418 0.418 0.000
3 Er 0.000 0.582 0.000
4 Pt 0.333 0.667 0.500
5 Pt 0.667 0.333 0.500
6 Mg 0.750 0.750 0.500
7 Mg 0.000 0.250 0.500
8 Mg 0.250 0.000 0.500
9 Ga 0.000 0.000 0.000

**DFT total energy**: -4.4898 eV/atom
**V**: 21.40 A^3/atom

***

8.
This record from OQMD via LeMat-Bulk describes crystalline Er3Mg3Ga2Pt at its relaxed geometry. The functional is PBE-GGA.

Lattice parameters (Å, degrees): 7.260 7.260 4.282 90.00 90.00 120.00
Fractional coordinates of all 9 atoms:
1 Er 0.410 0.410 0.000
2 Er 0.590 0.000 0.000
3 Er 0.000 0.590 0.000
4 Mg 0.241 0.000 0.500
5 Mg 0.000 0.241 0.500
6 Mg 0.759 0.759 0.500
7 Ga 0.667 0.333 0.500
8 Ga 0.333 0.667 0.500
9 Pt 0.000 0.000 0.000

**DFT total energy**: -4.0352 eV/atom
**V**: 21.72 A^3/atom

***

9.
This record from OQMD via LeMat-Bulk describes crystalline Tb2ErMg3Ga3 at its relaxed geometry. The functional is PBE-GGA.

Lattice parameters (Å, degrees): 4.431 7.265 7.265 119.74 90.00 90.00
Fractional coordinates of all 9 atoms:
1 Mg 0.500 0.243 0.243
2 Mg 0.500 0.000 0.757
3 Mg 0.500 0.757 0.000
4 Tb 0.000 0.001 0.427
5 Tb 0.000 0.427 0.001
6 Ga 0.000 0.997 0.997
7 Ga 0.500 0.335 0.666
8 Ga 0.500 0.666 0.335
9 Er 0.000 0.574 0.574

**DFT total energy**: -3.5571 eV/atom
**V**: 22.56 A^3/atom

***

10.
This record from OQMD via LeMat-Bulk describes crystalline TbEr2Mg3Ga3 at its relaxed geometry. The functional is PBE-GGA.

Lattice parameters (Å, degrees): 4.421 7.256 7.256 120.25 90.00 90.00
Fractional coordinates of all 9 atoms:
1 Er 0.000 0.999 0.427
2 Er 0.000 0.427 0.999
3 Ga 0.000 0.003 0.003
4 Ga 0.500 0.332 0.668
5 Ga 0.500 0.668 0.332
6 Mg 0.500 0.000 0.757
7 Mg 0.500 0.243 0.243
8 Mg 0.500 0.757 0.000
9 Tb 0.000 0.571 0.571

**DFT total energy**: -3.5447 eV/atom
**V**: 22.34 A^3/atom

***

11.
This record from OQMD via LeMat-Bulk describes crystalline Tb2ErMg3TlGa2 at its relaxed geometry. The functional is PBE-GGA.

Lattice parameters (Å, degrees): 4.545 7.330 7.330 119.78 90.00 90.00
Fractional coordinates of all 9 atoms:
1 Mg 0.500 0.000 0.749
2 Mg 0.500 0.251 0.251
3 Mg 0.500 0.749 0.000
4 Tb 0.000 0.001 0.437
5 Tb 0.000 0.437 0.001
6 Ga 0.500 0.335 0.666
7 Ga 0.500 0.666 0.335
8 Er 0.000 0.564 0.564
9 Tl 0.000 0.998 0.998

**DFT total energy**: -3.4258 eV/atom
**V**: 23.55 A^3/atom

***

12.
This record from OQMD via LeMat-Bulk describes crystalline Er3Mg3Tl2Ga at its relaxed geometry. The functional is PBE-GGA.

Lattice parameters (Å, degrees): 7.466 7.466 4.530 90.00 90.00 120.00
Fractional coordinates of all 9 atoms:
1 Mg 0.763 0.763 0.500
2 Mg 0.237 0.000 0.500
3 Mg 0.000 0.237 0.500
4 Tl 0.333 0.667 0.500
5 Tl 0.667 0.333 0.500
6 Er 0.580 0.000 0.000
7 Er 0.000 0.580 0.000
8 Er 0.420 0.420 0.000
9 Ga 0.000 0.000 0.000

**DFT total energy**: -3.2481 eV/atom
**V**: 24.30 A^3/atom

***

- The highest V belongs to which entry?
  Nd2ErMg3TlGa2